The following is a PBE-GGA calculation of a relaxed NiWSe2 crystal, from the Alexandria database.

a b c (Å): 3.154 3.154 6.163
angles (deg): 90.00 90.00 90.00
Sites, in units of the cell vectors:
Ni (0.000, 0.000, 0.000)
W (0.000, 0.000, 0.500)
Se (0.500, 0.500, 0.252)
Se (0.500, 0.500, 0.748)

ΔE to the lowest computed polymorph in eV per atom: 0.321
Space-group type: P4/mmm, No. 123
ΔE_f (raw) in meV per atom: 169
Crystal system: tetragonal
Total magnetic moment in μB/atom: 0.0000